[1]
PrSm3Se7 after structural relaxation. Source: the Open Quantum Materials Database, functional PBE.

Structure (extended XYZ):
```
11
Lattice="10.6629 0.0000 0.0000 0.0000 2.1572 6.8791 0.0000 -2.1572 6.8791" Properties=species:S:1:pos:R:3 pbc="T T T"
Pr 5.3314 0.0000 13.5832
Se 2.6325 0.0000 0.9102
Se 8.0304 0.0000 0.9102
Se 0.0000 0.0000 4.6105
Se 4.0953 0.0000 4.7233
Se 6.5676 0.0000 4.7233
Se 0.0000 0.0000 8.5743
Se 5.3314 0.0000 8.7282
Sm 2.5864 0.0000 9.7089
Sm 8.0765 0.0000 9.7089
Sm 0.0000 0.0000 13.5427
```

## Properties
- calculated volume (Å³ per cell) = 316.5
- total magnetic moment (μB/f.u.) = 0.0
- VASP energy (eV per atom) = -5.512

=====

[2]
Sm2Y2CBr5 after structural relaxation. Source: the Open Quantum Materials Database, functional PBE.

Structure (extended XYZ):
```
10
Lattice="8.9704 -1.9204 0.0000 8.9704 1.9204 0.0000 -1.8896 0.0000 7.9590" Properties=species:S:1:pos:R:3 pbc="T T T"
Br 14.5834 0.0000 1.4454
Br 2.2555 0.0000 2.7810
Br 8.0256 0.0000 3.9795
Br 13.7956 0.0000 5.1780
Br 1.4677 0.0000 6.5136
C 8.9704 0.0000 0.0000
Sm 11.3734 0.0000 0.5948
Sm 4.6777 0.0000 7.3642
Y 17.5507 0.0000 1.5983
Y -1.4996 0.0000 6.3607
```

## Properties
- polymorph energy (0 for the lowest one) (meV per atom) = 4
- calculated volume (Å³ per cell) = 274.2
- total magnetic moment (μB/f.u.) = 0.3
- VASP energy (eV per atom) = -5.434

=====

[3]
B4PdW after structural relaxation. Source: the Open Quantum Materials Database, functional PBE.

Structure (extended XYZ):
```
6
Lattice="-1.5795 -1.2095 2.2380 1.6926 -1.7428 -1.7504 5.5550 0.9447 4.4310" Properties=species:S:1:pos:R:3 pbc="T T T"
B 0.8057 -1.1671 1.9411
B 1.8964 -1.3449 0.6116
B 3.7718 -0.6626 4.3070
B 4.8625 -0.8404 2.9775
Pd 2.7775 0.4724 2.2155
W 0.0000 0.0000 0.0000
```

## Properties
- polymorph energy (0 for the lowest one) (meV per atom) = 0
- calculated volume (Å³ per cell) = 55.7
- total magnetic moment (μB/f.u.) = 0.0
- VASP energy (eV per atom) = -7.467

=====

[4]
CsPaSb after structural relaxation. Source: the Open Quantum Materials Database, functional PBE.

Structure (extended XYZ):
```
3
Lattice="2.7100 1.5646 4.4254 -2.7100 1.5646 4.4254 0.0000 -3.1292 4.4254" Properties=species:S:1:pos:R:3 pbc="T T T"
Cs 0.0000 0.0000 0.0000
Pa 0.0000 0.0000 9.9572
Sb 0.0000 0.0000 3.3190
```

## Properties
- polymorph energy (0 for the lowest one) (meV per atom) = 530
- calculated volume (Å³ per cell) = 112.6
- total magnetic moment (μB/f.u.) = 3.0
- VASP energy (eV per atom) = -3.522

=====

[5]
MgZrIr2 after structural relaxation. Source: the Open Quantum Materials Database, functional PBE.

Structure (extended XYZ):
```
4
Lattice="3.2784 0.0000 0.0000 0.0000 3.2784 0.0000 0.0000 0.0000 6.2297" Properties=species:S:1:pos:R:3 pbc="T T T"
Ir 1.6392 1.6392 1.5715
Ir 1.6392 1.6392 4.6582
Mg 0.0000 0.0000 3.1149
Zr 0.0000 0.0000 0.0000
```

## Properties
- calculated volume (Å³ per cell) = 67.0
- total magnetic moment (μB/f.u.) = 0.0
- VASP energy (eV per atom) = -7.672

=====

[6]
Rb4NpS5 after structural relaxation. Source: the Open Quantum Materials Database, functional PBE.

Structure (extended XYZ):
```
10
Lattice="3.1819 -5.4308 4.8320 -3.2723 7.0757 1.4809 -6.4279 -3.9682 -2.4295" Properties=species:S:1:pos:R:3 pbc="T T T"
Np -0.0031 0.0567 0.2178
Rb -0.0246 -2.2734 4.0160
Rb -3.2581 0.8035 3.1680
Rb -3.2615 -3.1010 0.8140
Rb -6.4951 -0.0242 -0.0340
S -0.0378 0.6873 2.6376
S -3.3187 4.6608 2.1545
S -2.5071 0.0466 -0.0029
S -4.0123 -2.3478 3.9708
S -3.2008 -6.9620 1.8133
```

## Properties
- calculated volume (Å³ per cell) = 341.4
- total magnetic moment (μB/f.u.) = 1.0
- VASP energy (eV per atom) = -4.877

=====

[7]
BeNi after structural relaxation. Source: the Open Quantum Materials Database, functional PBE.

Structure (extended XYZ):
```
2
Lattice="-1.5093 0.4242 -1.8849 -0.2036 -2.0745 1.2906 -2.2933 1.5903 2.1943" Properties=species:S:1:pos:R:3 pbc="T T T"
Be -2.7941 0.7840 0.8193
Ni -1.2122 -0.8440 0.7807
```

## Properties
- calculated volume (Å³ per cell) = 18.5
- total magnetic moment (μB/f.u.) = 0.0
- VASP energy (eV per atom) = -4.917

=====

[8]
PrTh after structural relaxation. Source: the Open Quantum Materials Database, functional PBE.

Structure (extended XYZ):
```
2
Lattice="3.7135 -2.5112 1.2424 -0.2126 -4.6467 -0.0482 2.3615 -2.4033 -3.2074" Properties=species:S:1:pos:R:3 pbc="T T T"
Pr 0.0000 0.0000 0.0000
Th 2.9312 -4.7806 -1.0066
```

## Properties
- polymorph energy (0 for the lowest one) (meV per atom) = 750
- calculated volume (Å³ per cell) = 71.2
- total magnetic moment (μB/f.u.) = 0.0
- VASP energy (eV per atom) = -5.262

=====

[9]
Li2ScCdIn2Ag2 after structural relaxation. Source: the Open Quantum Materials Database, functional PBE.

Structure (extended XYZ):
```
8
Lattice="-2.3743 2.9280 -2.9136 1.3676 -2.6139 -3.7413 -5.4977 -3.8095 0.6519" Properties=species:S:1:pos:R:3 pbc="T T T"
Ag -0.7257 -2.2836 -1.7035
Ag -5.2754 -1.3688 -0.9720
Cd 0.0000 0.0000 0.0000
In -0.5034 0.1571 -3.3274
In -2.7489 -1.9047 0.3260
Li -2.4838 0.5656 -1.3030
Li -3.5174 -4.2180 -1.3725
Sc -3.2523 -1.7477 -3.0015
```

## Properties
- calculated volume (Å³ per cell) = 152.5
- total magnetic moment (μB/f.u.) = 0.0
- VASP energy (eV per atom) = -3.026

=====

[10]
ZnH18C26S2N4O2 after structural relaxation. Source: the Open Quantum Materials Database, functional PBE.

Structure (extended XYZ):
```
106
Lattice="7.8016 -2.7789 0.0000 7.8016 2.7789 0.0000 -1.8508 0.0000 27.4001" Properties=species:S:1:pos:R:3 pbc="T T T"
C 2.1656 0.0194 0.5413
C 9.1471 -1.6609 0.8212
C 3.4257 -0.0614 1.1171
C 9.5853 -0.6542 1.6832
C 3.8867 0.9539 1.9675
C 10.8551 -0.7288 2.2506
C 5.2683 0.8614 2.4897
C 14.6815 -0.2108 3.3240
C 5.7058 1.8421 3.5372
C 7.2860 -2.0689 4.2762
C 12.7970 -0.7310 4.7247
C 9.4934 1.0499 5.4013
C 13.2833 0.1855 5.6449
C 1.3944 0.1855 8.0552
C 5.1844 1.0499 8.2988
C 1.8807 -0.7310 8.9754
C 7.3917 -2.0689 9.4238
C 8.9720 1.8421 10.1629
C -0.0038 -0.2108 10.3761
C 9.4095 0.8614 11.2104
C 3.8227 -0.7288 11.4494
C 10.7910 0.9539 11.7326
C 5.0924 -0.6542 12.0168
C 11.2520 -0.0614 12.5830
C 5.5307 -1.6609 12.8788
C 12.5121 0.0194 13.1588
C 1.2402 -0.0194 14.2413
C 8.2217 1.6609 14.5213
C 2.5003 0.0614 14.8172
C 8.6599 0.6542 15.3833
C 2.9614 -0.9539 15.6675
C 9.9297 0.7288 15.9507
C 4.3429 -0.8614 16.1897
C 13.7561 0.2108 17.0240
C 4.7804 -1.8421 17.2372
C 6.3607 2.0689 17.9763
C 11.8716 0.7310 18.4247
C 8.5680 -1.0499 19.1013
C 12.3579 -0.1855 19.3450
C 0.4691 -0.1855 21.7552
C 4.2590 -1.0499 21.9988
C 0.9554 0.7310 22.6755
C 6.4663 2.0689 23.1239
C 8.0466 -1.8421 23.8629
C -0.9292 0.2108 24.0761
C 8.4841 -0.8614 24.9104
C 2.8973 0.7288 25.1495
C 9.8656 -0.9539 25.4326
C 4.1671 0.6542 25.7169
C 10.3267 0.0614 26.2830
C 4.6053 1.6609 26.5789
C 11.5867 -0.0194 26.8589
H 5.9715 -2.0061 0.1309
H 8.1619 -1.5770 0.3636
H 4.0838 -0.9057 0.9264
H 8.9359 0.1914 1.9127
H 7.4643 2.4359 2.4148
H 11.1879 0.0818 2.9011
H 8.1792 -1.4613 4.1375
H 4.0809 1.4996 4.9510
H 12.7660 0.3663 6.5885
H 1.9117 0.3663 7.1116
H 10.5968 1.4996 8.7491
H 6.4985 -1.4613 9.5626
H 3.4899 0.0818 10.7990
H 7.2135 2.4359 11.2852
H 5.7418 0.1914 11.7873
H 10.5940 -0.9057 12.7737
H 6.5159 -1.5770 13.3365
H 8.7063 -2.0061 13.5691
H 5.0461 2.0061 13.8310
H 7.2365 1.5770 14.0636
H 3.1584 0.9057 14.6264
H 8.0106 -0.1914 15.6128
H 6.5389 -2.4359 16.1149
H 10.2625 -0.0818 16.6011
H 7.2538 1.4613 17.8376
H 3.1555 -1.4996 18.6510
H 11.8406 -0.3663 20.2886
H 0.9864 -0.3663 20.8116
H 9.6714 -1.4996 22.4491
H 5.5732 1.4613 23.2626
H 2.5645 -0.0818 24.4990
H 6.2881 -2.4359 24.9853
H 4.8164 -0.1914 25.4874
H 9.6686 0.9057 26.4737
H 5.5905 1.5770 27.0365
H 7.7809 2.0061 27.2692
N 6.6030 -1.8820 5.4226
N 8.7843 0.2975 5.9866
N 5.8935 0.2975 7.7135
N 8.0748 -1.8820 8.2774
N 5.6776 1.8820 19.1227
N 7.8589 -0.2975 19.6866
N 4.9681 -0.2975 21.4135
N 7.1494 1.8820 21.9775
O 6.0893 0.0376 2.0649
O 8.5884 0.0376 11.6351
O 5.1639 -0.0376 15.7650
O 7.6630 -0.0376 25.3352
S 2.6477 -0.7071 4.6151
S 12.0301 -0.7071 9.0849
S 1.7223 0.7071 18.3152
S 11.1047 0.7071 22.7850
Zn 7.3389 -0.6310 6.8500
Zn 6.4135 0.6310 20.5501
```

## Properties
- calculated volume (Å³ per cell) = 1188.1
- VASP energy (eV per atom) = -6.711

=====

[11]
ErZrIr after structural relaxation. Source: the Open Quantum Materials Database, functional PBE.

Structure (extended XYZ):
```
3
Lattice="0.0000 3.2430 3.2430 3.2430 0.0000 3.2430 3.2430 3.2430 0.0000" Properties=species:S:1:pos:R:3 pbc="T T T"
Er 1.6215 1.6215 1.6215
Ir 4.8645 4.8645 4.8645
Zr 0.0000 0.0000 0.0000
```

## Properties
- calculated volume (Å³ per cell) = 68.2
- total magnetic moment (μB/f.u.) = 0.0
- VASP energy (eV per atom) = -7.231

=====

[12]
Dy3Y4Te2Pd2 after structural relaxation. Source: the Open Quantum Materials Database, functional PBE.

Structure (extended XYZ):
```
11
Lattice="-1.9725 7.8934 4.8239 1.9725 -7.8934 4.8239 1.9725 7.8934 -4.8239" Properties=species:S:1:pos:R:3 pbc="T T T"
Dy 0.0000 2.8817 0.9681
Dy 0.0000 7.8934 4.6151
Dy 0.0000 12.9051 0.9681
Pd 0.0000 4.1441 3.9309
Pd 1.9725 3.7493 -0.8930
Te 0.0000 0.0000 2.3211
Te 0.0000 7.8934 1.3675
Y 0.0000 2.2550 7.1511
Y 1.9725 -2.0024 3.7986
Y 1.9725 2.0024 3.7986
Y 1.9725 5.6384 2.3272
```

## Properties
- calculated volume (Å³ per cell) = 300.4
- total magnetic moment (μB/f.u.) = 0.0
- VASP energy (eV per atom) = -5.973

=====

| no. | density (g/cm3) |
| --- | --- |
| 1 | 6.01 |
| 2 | 5.39 |
| 3 | 9.95 |
| 4 | 7.16 |
| 5 | 12.40 |
| 6 | 3.60 |
| 7 | 6.08 |
| 8 | 8.70 |
| 9 | 6.71 |
| 10 | 1.53 |
| 11 | 10.97 |
| 12 | 7.25 |